{"formula": "BaAl2", "functional": "PBEsol", "state": "relaxed", "e_tot_ev_per_cell": -21.51, "space_group": "Immm", "crystal_system": "orthorhombic", "lattice_angstrom": [[-2.016, 3.577, 6.141], [2.016, -3.577, 6.141], [2.016, 3.577, -6.141]], "species": ["Ba", "Ba", "Al", "Al", "Al", "Al"], "fractional_positions": [[0.165, 0.165, 0.000], [0.835, 0.835, 0.000], [0.310, 0.500, 0.810], [0.392, 0.892, 0.500], [0.608, 0.108, 0.500], [0.690, 0.500, 0.190]]}